1.
Entry from Alexandria via LeMat-Bulk: an optimized crystal structure of Pa2MnTcN5 (PBE).

It has space group Cmc2_1 (No. 36), with a = 3.362 Å, b = 13.233 Å, c = 9.398 Å, α = 90.00°, β = 90.00° and γ = 90.00°. The distinct sites, in fractional coordinates, are Pa at (0.000, 0.121, 0.000), Pa at (0.000, 0.134, 0.620), Mn at (0.000, 0.443, 0.767), Tc at (0.000, 0.203, 0.323), N at (0.000, 0.040, 0.346), N at (0.000, 0.296, 0.973), N at (0.000, 0.312, 0.678), N at (0.000, 0.362, 0.313) and N at (0.000, 0.500, 0.084).

=====

2.
Entry from Alexandria via LeMat-Bulk: an optimized crystal structure of Pa2MnTe2N2 (PBE).

It has space group C2/m (No. 12), with a = 11.258 Å, b = 3.920 Å, c = 7.545 Å, α = 90.00°, β = 121.96° and γ = 90.00°. The distinct sites, in fractional coordinates, are Pa at (0.190, 0.000, 0.270), Mn at (0.000, 0.000, 0.500), Te at (0.071, 0.500, 0.841) and N at (0.205, 0.000, 0.581).

=====

3.
Entry from Alexandria via LeMat-Bulk: an optimized crystal structure of ThPaMnN4 (PBE).

It has space group I4mm (No. 107), with a = 3.757 Å, b = 3.757 Å, c = 12.510 Å, α = 90.00°, β = 90.00° and γ = 90.00°. The distinct sites, in fractional coordinates, are Th at (0.000, 0.000, 0.000), Pa at (0.000, 0.000, 0.721), Mn at (0.000, 0.000, 0.341), N at (0.000, 0.000, 0.187), N at (0.000, 0.000, 0.547) and N at (0.000, 0.500, 0.355).

=====

4.
Entry from Alexandria via LeMat-Bulk: an optimized crystal structure of PaTi2MnN4 (PBE).

It has space group Cmcm (No. 63), with a = 3.133 Å, b = 10.741 Å, c = 10.366 Å, α = 90.00°, β = 90.00° and γ = 90.00°. The distinct sites, in fractional coordinates, are Pa at (0.000, 0.103, 0.250), Ti at (0.000, 0.371, 0.050), Mn at (0.000, 0.156, 0.750), N at (0.000, 0.000, 0.000), N at (0.000, 0.274, 0.617) and N at (0.000, 0.442, 0.250).

=====

5.
Entry from Alexandria via LeMat-Bulk: an optimized crystal structure of Pa2TiMnN5 (PBE).

It has space group Cmc2_1 (No. 36), with a = 3.232 Å, b = 12.836 Å, c = 10.049 Å, α = 90.00°, β = 90.00° and γ = 90.00°. The distinct sites, in fractional coordinates, are Pa at (0.000, 0.106, 0.000), Pa at (0.000, 0.146, 0.627), Ti at (0.000, 0.199, 0.328), Mn at (0.000, 0.469, 0.779), N at (0.000, 0.053, 0.388), N at (0.000, 0.280, 0.982), N at (0.000, 0.322, 0.696), N at (0.000, 0.368, 0.319) and N at (0.000, 0.488, 0.099).

=====

6.
Entry from Alexandria via LeMat-Bulk: an optimized crystal structure of U2PaMnN4 (PBE).

It has space group Cmcm (No. 63), with a = 3.311 Å, b = 11.347 Å, c = 11.297 Å, α = 90.00°, β = 90.00° and γ = 90.00°. The distinct sites, in fractional coordinates, are U at (0.000, 0.134, 0.058), Pa at (0.000, 0.394, 0.250), Mn at (0.000, 0.345, 0.750), N at (0.000, 0.050, 0.250), N at (0.000, 0.221, 0.628) and N at (0.000, 0.500, 0.000).

=====

Number 1: formation energy from raw total energies -968.5 meV per atom, magnetization 1.04 μB per formula unit. Number 2: formation energy from raw total energies -1144.3 meV per atom, magnetization 2.96 μB per formula unit. Number 3: formation energy from raw total energies -1243.6 meV per atom, magnetization 2.24 μB per formula unit. Number 4: formation energy from raw total energies -1293.5 meV per atom, magnetization 0.00 μB per formula unit. Number 5: formation energy from raw total energies -1321.8 meV per atom, magnetization 1.21 μB per formula unit. Number 6: formation energy from raw total energies -1200.0 meV per atom, magnetization 1.88 μB per formula unit.